No. 1
FeRhS PBE-GGA relaxed; polymorph energy (0 for the lowest one) = 201 meV/atom; electronic total energy = -19.94 eV/cell; DOS at the Fermi energy = 0.7669 states/eV per atom; ΔE_f (raw) = 0 meV/atom
1.0
-0.987 -0.806 2.556
-0.842 -2.492 -1.111
4.557 -2.039 1.118
Rh S Fe
1 1 1
direct
0.000 0.000 0.332
0.000 0.000 0.777
0.500 0.500 0.004



No. 2
ZnTcSb3 PBE-GGA relaxed; polymorph energy (0 for the lowest one) = 667 meV/atom; electronic total energy = -18.06 eV/cell; DOS at the Fermi energy = 0.8547 states/eV per atom; ΔE_f (raw) = 1190 meV/atom
1.0
5.147 0.000 0.000
0.000 5.147 0.000
0.000 0.000 5.147
Zn Tc Sb
1 1 3
direct
0.000 0.000 0.000
0.500 0.500 0.500
0.500 0.000 0.000
0.000 0.500 0.000
0.000 0.000 0.500



No. 3
AcDy4Ag5 PBE-GGA relaxed; formation enthalpy at 0 K = -0.301 eV per atom; electronic total energy = -39.79 eV/cell; DOS at the Fermi energy = 0.4654 states/eV per atom
1.0
-2.063 1.382 -2.707
1.326 -2.535 -2.305
-13.958 -11.594 4.720
Ag Dy Ac
5 4 1
direct
0.500 0.500 0.307
0.500 0.500 0.500
0.500 0.500 0.880
0.500 0.500 0.120
0.500 0.500 0.693
0.000 0.000 0.597
0.000 0.000 0.210
0.000 0.000 0.790
0.000 0.000 0.403
0.000 0.000 0.000